First-principles (PBE) data for LaTaN2F after structural relaxation, as listed in the Alexandria database.

Calculated values
Theoretical density: 6624 kg/m³
Energy above the most stable polymorph in this dataset: 2100.3 meV/atom
DOS(E_F): 4.105 states/eV/cell

a = 4.613 Å, b = 4.613 Å, c = 4.322 Å
α = 90.00°, β = 90.00°, γ = 90.00°
Sites, in units of the cell vectors:
La 0.000 0.000 0.000
Ta 0.500 0.500 0.500
N 0.000 0.500 0.000
N 0.500 0.000 0.000
F 0.000 0.000 0.500